# Nb2Sn2Sb | the Alexandria database | PBE | relaxed
# Theoretical density = 8.3 Mg/m³
# Spin magnetization = 0.0 μB per formula unit
# DFT total energy = -0.4738 Ry/atom
data_Nb2Sn2Sb
_chemical_formula_sum 'Nb4 Sn4 Sb2'
_symmetry_space_group_name_H-M 'P 4/m b m'
_symmetry_Int_Tables_number 127
_symmetry_space_group_name_Hall '-P 4 2ab'
_cell_length_a 7.4482
_cell_length_b 7.4482
_cell_length_c 3.9398
_cell_angle_alpha 90.00
_cell_angle_beta 90.00
_cell_angle_gamma 90.00
loop_
_atom_site_label
_atom_site_type_symbol
_atom_site_fract_x
_atom_site_fract_y
_atom_site_fract_z
Nb1 Nb 0.1466 0.3534 0.0000
Sn1 Sn 0.1502 0.6502 0.5000
Sb1 Sb 0.0000 0.0000 0.0000